1.
Below is a relaxed AlHgMo3 crystal, with properties calculated at the PBE-GGA level.

Computed properties:
mass density	8.94	g cm⁻³
magnetization	0.09	μB/f.u.
volume	19.1	Å³ per atom

Lattice parameters (Å, degrees): 4.574 4.574 4.574 90.00 90.00 90.00
Atoms (fractional coordinates):
1 Mo 0.000 0.500 0.000
2 Mo 0.000 0.000 0.500
3 Mo 0.500 0.000 0.000
4 Hg 0.500 0.500 0.500
5 Al 0.000 0.000 0.000

2.
Below is a relaxed AlHgMo3 crystal, with properties calculated at the PBE-GGA level.

Computed properties:
mass density	7.21	g cm⁻³
magnetization	0.00	μB/f.u.
volume	23.7	Å³ per atom

Lattice parameters (Å, degrees): 4.914 4.914 4.914 90.00 90.00 90.00
Atoms (fractional coordinates):
1 Mo 0.000 0.500 0.000
2 Mo 0.000 0.000 0.500
3 Mo 0.500 0.000 0.000
4 Hg 0.000 0.000 0.000
5 Al 0.500 0.500 0.500

Which of them is least stable? Easy: 2.

1.
Below is a relaxed AlHg2N crystal, with properties calculated at the PBE-GGA level.

Computed properties:
mass density	10.20	g cm⁻³
magnetization	0.00	μB/f.u.
volume	18.0	Å³ per atom

Lattice parameters (Å, degrees): 4.670 4.670 4.670 60.00 60.00 60.00
Atoms (fractional coordinates):
1 N 0.000 0.000 0.000
2 Hg 0.250 0.250 0.250
3 Hg 0.750 0.750 0.750
4 Al 0.500 0.500 0.500

2.
Below is a relaxed AlHg2N crystal, with properties calculated at the PBE-GGA level.

Computed properties:
mass density	8.57	g cm⁻³
magnetization	0.00	μB/f.u.
volume	21.4	Å³ per atom

Lattice parameters (Å, degrees): 6.157 6.157 6.276 60.63 60.63 90.00
Atoms (fractional coordinates):
1 N 0.500 0.500 0.000
2 N 0.250 0.750 0.500
3 Hg 0.568 0.125 0.250
4 Hg 0.182 0.625 0.250
5 Hg 0.375 0.432 0.750
6 Hg 0.875 0.818 0.750
7 Al 0.000 0.000 0.000
8 Al 0.750 0.250 0.500

Which of them is least stable? Easy: 1.

1.
Below is a relaxed AlHgSeN2 crystal, with properties calculated at the PBE-GGA level.

Computed properties:
mass density	6.51	g cm⁻³
magnetization	1.16	μB/f.u.
volume	17.1	Å³ per atom

Lattice parameters (Å, degrees): 3.785 3.785 5.959 90.00 90.00 90.00
Atoms (fractional coordinates):
1 N 0.000 0.500 0.000
2 N 0.500 0.000 0.000
3 Hg 0.500 0.500 0.500
4 Se 0.000 0.000 0.500
5 Al 0.000 0.000 0.000

2.
Below is a relaxed AlHgSeN2 crystal, with properties calculated at the PBE-GGA level.

Computed properties:
mass density	5.12	g cm⁻³
magnetization	3.33	μB/f.u.
volume	21.7	Å³ per atom

Lattice parameters (Å, degrees): 4.184 4.184 6.201 90.00 90.00 90.00
Atoms (fractional coordinates):
1 N 0.000 0.500 0.000
2 N 0.500 0.000 0.000
3 Hg 0.000 0.000 0.000
4 Se 0.000 0.000 0.500
5 Al 0.500 0.500 0.500

Which of them is least stable? Easy: 2.

1.
Below is a relaxed AlHgSe2N crystal, with properties calculated at the PBE-GGA level.

Computed properties:
mass density	6.70	g cm⁻³
magnetization	0.00	μB/f.u.
volume	19.8	Å³ per atom

Lattice parameters (Å, degrees): 5.304 5.304 3.519 90.00 90.00 90.00
Atoms (fractional coordinates):
1 N 0.000 0.000 0.500
2 Hg 0.500 0.500 0.500
3 Se 0.000 0.500 0.000
4 Se 0.500 0.000 0.000
5 Al 0.000 0.000 0.000

2.
Below is a relaxed AlHgSe2N crystal, with properties calculated at the PBE-GGA level.

Computed properties:
mass density	5.56	g cm⁻³
magnetization	1.85	μB/f.u.
volume	23.8	Å³ per atom

Lattice parameters (Å, degrees): 5.400 5.400 4.088 90.00 90.00 90.00
Atoms (fractional coordinates):
1 N 0.000 0.000 0.500
2 Hg 0.000 0.000 0.000
3 Se 0.000 0.500 0.000
4 Se 0.500 0.000 0.000
5 Al 0.500 0.500 0.500

Which of them is least stable? Easy: 2.

1.
Below is a relaxed NaAlHg crystal, with properties calculated at the PBE-GGA level.

Computed properties:
mass density	6.07	g cm⁻³
magnetization	0.00	μB/f.u.
volume	22.8	Å³ per atom

Lattice parameters (Å, degrees): 7.244 8.537 8.537 64.06 64.89 64.89
Atoms (fractional coordinates):
1 Na 0.257 0.962 0.462
2 Na 0.681 0.038 0.538
3 Na 0.682 0.538 0.038
4 Na 0.257 0.462 0.962
5 Na 0.833 0.250 0.750
6 Na 0.832 0.750 0.250
7 Al 0.493 0.500 0.500
8 Al 0.493 0.000 0.000
9 Al 0.257 0.882 0.881
10 Al 0.020 0.118 0.119
11 Al 0.020 0.619 0.618
12 Al 0.257 0.381 0.382
13 Hg 0.256 0.750 0.250
14 Hg 0.255 0.250 0.750
15 Hg 0.592 0.666 0.666
16 Hg 0.924 0.334 0.334
17 Hg 0.924 0.834 0.834
18 Hg 0.592 0.166 0.166

2.
Below is a relaxed NaAlHg crystal, with properties calculated at the PBE-GGA level.

Computed properties:
mass density	6.14	g cm⁻³
magnetization	0.00	μB/f.u.
volume	22.6	Å³ per atom

Lattice parameters (Å, degrees): 3.412 4.790 4.790 120.00 90.00 90.00
Atoms (fractional coordinates):
1 Na 0.667 0.333 0.667
2 Hg 0.167 0.000 0.000
3 Al 0.167 0.667 0.333

Which of them is least stable? Easy: 2.

1.
Below is a relaxed Na2AlHg2 crystal, with properties calculated at the PBE-GGA level.

Computed properties:
mass density	6.19	g cm⁻³
magnetization	0.00	μB/f.u.
volume	25.4	Å³ per atom

Lattice parameters (Å, degrees): 8.818 8.818 3.271 90.00 90.00 90.00
Atoms (fractional coordinates):
1 Na 0.363 0.863 0.000
2 Na 0.863 0.637 0.000
3 Na 0.637 0.137 0.000
4 Na 0.137 0.363 0.000
5 Hg 0.162 0.662 0.500
6 Hg 0.662 0.838 0.500
7 Hg 0.838 0.338 0.500
8 Hg 0.338 0.162 0.500
9 Al 0.000 0.000 0.000
10 Al 0.500 0.500 0.000

2.
Below is a relaxed Na2AlHg2 crystal, with properties calculated at the PBE-GGA level.

Computed properties:
mass density	5.53	g cm⁻³
magnetization	0.00	μB/f.u.
volume	28.5	Å³ per atom

Lattice parameters (Å, degrees): 4.196 4.196 8.614 75.91 75.91 90.00
Atoms (fractional coordinates):
1 Na 0.402 0.402 0.196
2 Na 0.598 0.598 0.804
3 Hg 0.750 0.250 0.500
4 Hg 0.250 0.750 0.500
5 Al 0.000 0.000 0.000

3.
Below is a relaxed Na2AlHg2 crystal, with properties calculated at the PBE-GGA level.

Computed properties:
mass density	6.08	g cm⁻³
magnetization	0.00	μB/f.u.
volume	25.9	Å³ per atom

Lattice parameters (Å, degrees): 7.230 7.230 4.958 90.00 90.00 90.00
Atoms (fractional coordinates):
1 Na 0.168 0.668 0.500
2 Na 0.668 0.832 0.500
3 Na 0.832 0.332 0.500
4 Na 0.332 0.168 0.500
5 Hg 0.350 0.850 0.000
6 Hg 0.850 0.650 0.000
7 Hg 0.650 0.150 0.000
8 Hg 0.150 0.350 0.000
9 Al 0.000 0.000 0.000
10 Al 0.500 0.500 0.000

Which of them is least stable? Easy: 2.